1.
First-principles (PBE) data for crystalline EuAg4Sb at its relaxed geometry, as listed in Alexandria via LeMat-Bulk.

Unit cell a=5.724 b=5.724 c=5.724 alpha=60.00 beta=60.00 gamma=60.00
Each line ends with the local moment (μB).
Fractional coordinates of all 6 atoms:
1 Ag 0.124 0.625 0.625  -0.01
2 Ag 0.625 0.625 0.124  -0.01
3 Ag 0.625 0.124 0.625  -0.01
4 Ag 0.625 0.625 0.625  -0.01
5 Sb 0.250 0.250 0.250  -0.03
6 Eu 0.000 0.000 0.000  6.83

Results
volume	132.62	Å³ per cell
ΔE_f (raw)	-0.234	eV/atom
raw total energy	-4.5341	eV per atom
DOS(E_F)	8.8	states/eV/f.u.

2.
First-principles (PBE) data for crystalline ReTeCl2 at its relaxed geometry, as listed in Alexandria via LeMat-Bulk.

Unit cell a=3.157 b=3.157 c=8.489 alpha=90.00 beta=90.00 gamma=90.00
Fractional coordinates of all 4 atoms:
1 Te 0.500 0.500 0.706
2 Re 0.000 0.000 0.506
3 Cl 0.000 0.000 0.968
4 Cl 0.500 0.500 0.320

Results
volume	84.59	Å³ per cell
ΔE_f (raw)	0.340	eV/atom
raw total energy	-4.4812	eV per atom
DOS(E_F)	4.6	states/eV/f.u.
energy above the lowest structure with this stoichiometry	418	meV per atom

3.
First-principles (PBE) data for crystalline Rb2YMg2 at its relaxed geometry, as listed in Alexandria via LeMat-Bulk.

Unit cell a=4.084 b=4.084 c=14.164 alpha=81.71 beta=81.71 gamma=90.00
Each line ends with the local moment (μB).
Fractional coordinates of all 5 atoms:
1 Rb 0.379 0.379 0.243  0.01
2 Rb 0.621 0.621 0.757  0.01
3 Mg 0.250 0.750 0.500  0.00
4 Mg 0.750 0.250 0.500  0.00
5 Y 0.000 0.000 0.000  0.51

Results
volume	231.32	Å³ per cell
formation enthalpy at 0 K	0.52	eV per atom
raw total energy	-1.8015	eV per atom
DOS(E_F)	5.8	states/eV/f.u.
energy above the lowest structure with this stoichiometry	0	meV per atom

4.
First-principles (PBE) data for crystalline Dy8Ga2Hg at its relaxed geometry, as listed in Alexandria via LeMat-Bulk.

Unit cell a=4.989 b=7.030 c=9.291 alpha=102.15 beta=105.57 gamma=90.00
Fractional coordinates of all 11 atoms:
1 Dy 0.199 0.308 0.399
2 Dy 0.666 0.957 0.332
3 Dy 0.971 0.247 0.942
4 Dy 0.801 0.692 0.601
5 Dy 0.334 0.043 0.668
6 Dy 0.407 0.539 0.815
7 Dy 0.029 0.753 0.058
8 Dy 0.593 0.461 0.185
9 Ga 0.805 0.273 0.610
10 Ga 0.195 0.727 0.390
11 Hg 0.500 0.000 0.000

Results
volume	306.35	Å³ per cell
formation enthalpy at 0 K	-0.27	eV per atom
raw total energy	-4.1941	eV per atom
DOS(E_F)	11.8	states/eV/f.u.